(1)
Material: In2SiSb
Method: DFT, PBE-GGA
State: optimized geometry

Offset from the most stable computed form, eV per atom: 0.014
Total moment, μB/atom: 0.0000
Space-group type: No. 122
Final energy, eV/atom: -3.577

Cell: 6.3697 6.3697 12.5966 Å, 90.00 90.00 90.00°
Sites, in units of the cell vectors:
1 In 0.2158 0.2500 0.1250
2 In 0.2500 0.7158 0.3750
3 In 0.2500 0.7842 0.8750
4 In 0.2842 0.2500 0.6250
5 In 0.7158 0.7500 0.6250
6 In 0.7500 0.2158 0.8750
7 In 0.7500 0.2842 0.3750
8 In 0.7842 0.7500 0.1250
9 Si 0.0000 0.0000 0.0000
10 Si 0.0000 0.5000 0.2500
11 Si 0.5000 0.0000 0.7500
12 Si 0.5000 0.5000 0.5000
13 Sb 0.0000 0.0000 0.5000
14 Sb 0.0000 0.5000 0.7500
15 Sb 0.5000 0.0000 0.2500
16 Sb 0.5000 0.5000 0.0000

=====

(2)
Material: La5PuN5
Method: DFT, PBE-GGA
State: optimized geometry

Total moment, μB/atom: 0.4626
Space-group type: No. 12
Final energy, eV/atom: -8.488

Cell: 6.3923 6.3923 7.3725 Å, 107.18 107.18 48.40°
Sites, in units of the cell vectors:
1 La 0.0000 0.0000 0.0000
2 La 0.3290 0.3290 0.1789
3 La 0.3297 0.3297 0.6567
4 La 0.6703 0.6703 0.3433
5 La 0.6710 0.6710 0.8211
6 Pu 0.0000 0.0000 0.5000
7 N 0.1498 0.1498 0.8063
8 N 0.1645 0.1645 0.3385
9 N 0.5000 0.5000 0.5000
10 N 0.8355 0.8355 0.6615
11 N 0.8502 0.8502 0.1937

=====

(3)
Material: CsSnMoC2
Method: DFT, PBE-GGA
State: optimized geometry

Total moment, μB/atom: 0.2784
Space-group type: No. 123
Final energy, eV/atom: -3.149
Energy of formation, eV per formula unit: 18.392

Cell: 4.4731 4.4731 6.2700 Å, 90.00 90.00 90.00°
Sites, in units of the cell vectors:
1 Cs 0.0000 0.0000 0.0000
2 Sn 0.0000 0.0000 0.5000
3 Mo 0.5000 0.5000 0.5000
4 C 0.0000 0.5000 0.0000
5 C 0.5000 0.0000 0.0000